Entry 1:
Material: TePBr2
Method: DFT, GGA-PBE
State: relaxed

The structure in POSCAR format:
```
TePBr2
1.0
-3.061 -0.021 -2.735
-2.132 -2.555 2.405
-3.257 6.105 3.600
Br P Te
2 1 1
direct
0.000 0.000 0.920
0.500 0.500 0.314
0.000 0.000 0.628
0.500 0.500 0.638
```

Computed properties:
SG: P4mm

***

Entry 2:
Material: CoAu2
Method: DFT, GGA-PBE
State: relaxed

The structure in POSCAR format:
```
CoAu2
1.0
12.586 1.763 1.677
11.531 5.505 1.037
-12.351 -3.386 0.576
Co Au
2 4
direct
0.750 0.250 0.500
0.000 0.000 0.000
0.426 0.426 0.000
0.574 0.574 0.000
0.176 0.676 0.500
0.324 0.824 0.500
```

Computed properties:
SG: I4_1/amd

***

Entry 3:
Material: KNa7Tl4
Method: DFT, GGA-PBE
State: relaxed

The structure in POSCAR format:
```
KNa7Tl4
1.0
5.939 0.000 0.000
2.970 9.476 0.069
2.970 0.401 7.260
K Na Tl
1 7 4
direct
0.000 0.000 0.000
0.783 0.874 0.560
0.217 0.126 0.440
0.064 0.616 0.255
0.936 0.384 0.745
0.330 0.607 0.734
0.500 0.000 0.000
0.670 0.393 0.266
0.566 0.220 0.648
0.434 0.780 0.352
0.687 0.664 0.963
0.313 0.336 0.037
```

Computed properties:
SG: C2/m

***

Entry 4:
Material: ZnSb2
Method: DFT, GGA-PBE
State: relaxed

The structure in POSCAR format:
```
ZnSb2
1.0
-1.223 2.605 -4.466
2.590 -4.632 -0.251
-2.738 -1.524 -0.139
Sb Zn
2 1
direct
0.333 0.667 0.500
0.667 0.333 0.500
0.000 0.000 0.000
```

Computed properties:
SG: P6/mmm

***

Looking at total DFT energy (no corrections) for the records above, in order, we have -3.00, -4.33, -1.68, -2.94 eV per atom.
Looking at size of the total moment for the records above, in order, we have 0.00, 1.87, 0.00, 0.00 μB/f.u..